Material: Fe2CuRu
Method: DFT, SCAN
State: single point on PBEsol structure

a b c (Å): 2.5666 2.5666 7.0672
angles (deg): 90.00 90.00 90.00
Space group P4/mmm (No. 123)
Asymmetric unit:
1 Fe 0.0000 0.0000 0.2471 (multiplicity 2)
2 Cu 0.5000 0.5000 0.0000 (multiplicity 1)
3 Ru 0.5000 0.5000 0.5000 (multiplicity 1)

Properties
**Energy**: -21.42 eV/atom
**Magnetic moment**: 4.72 μB/cell

---

Material: Be2SiRu2
Method: DFT, SCAN
State: single point on PBEsol structure

a b c (Å): 5.9928 5.9928 2.9048
angles (deg): 90.00 90.00 90.00
Space group P4/mbm (No. 127)
Asymmetric unit:
1 Be 0.1204 0.3796 0.0000 (multiplicity 4)
2 Si 0.0000 0.0000 0.0000 (multiplicity 2)
3 Ru 0.1776 0.6776 0.5000 (multiplicity 4)

Properties
**Energy relative to the elements, uncorrected**: -0.54 eV/atom
**Magnetic moment**: 0.00 μB/cell

---

Material: FeCu2OF
Method: DFT, SCAN
State: single point on PBEsol structure

a b c (Å): 3.6310 3.6310 4.7853
angles (deg): 90.00 90.00 90.00
Space group P4/mmm (No. 123)
Asymmetric unit:
1 Fe 0.0000 0.0000 0.0000 (multiplicity 1)
2 Cu 0.0000 0.5000 0.5000 (multiplicity 2)
3 O 0.5000 0.5000 0.0000 (multiplicity 1)
4 F 0.5000 0.5000 0.5000 (multiplicity 1)

Properties
**Energy relative to the elements, uncorrected**: 0.26 eV/atom
**Magnetic moment**: 3.87 μB/cell

---

Repeat the second record exactly.
Material: Be2SiRu2
Method: DFT, SCAN
State: single point on PBEsol structure

a b c (Å): 5.9928 5.9928 2.9048
angles (deg): 90.00 90.00 90.00
Space group P4/mbm (No. 127)
Asymmetric unit:
1 Be 0.1204 0.3796 0.0000 (multiplicity 4)
2 Si 0.0000 0.0000 0.0000 (multiplicity 2)
3 Ru 0.1776 0.6776 0.5000 (multiplicity 4)

Properties
**Energy relative to the elements, uncorrected**: -0.54 eV/atom
**Magnetic moment**: 0.00 μB/cell

---

Question: Among the records above, which one has the highest magnetic moment?
Answer: Fe2CuRu

---

Question: The lowest magnetic moment belongs to which entry?
Answer: Be2SiRu2

---

Question: Number 1 is which compound?
Answer: Fe2CuRu